Record 1
This record from Alexandria via LeMat-Bulk describes a geometry-optimized LiPr3B2N6 structure. The functional is PBE-GGA.

Cell: 5.523 5.523 6.157 Å, 90.00 90.00 120.00°
Fractional positions:
Li 0.000 0.000 0.500
Pr 0.333 0.667 0.650
Pr 0.667 0.333 0.350
Pr 0.000 0.000 0.000
B 0.667 0.333 0.761
B 0.333 0.667 0.239
N 0.632 0.816 0.278
N 0.184 0.368 0.278
N 0.184 0.816 0.278
N 0.816 0.632 0.722
N 0.368 0.184 0.722
N 0.816 0.184 0.722

space group = P-3m1 (164)
calculated volume = 162.7 Å³/cell
electronic total energy = -89.58 eV/f.u.
formation energy (no corrections) = -10.02 eV/f.u.

=====

Record 2
This record from Alexandria via LeMat-Bulk describes a geometry-optimized Y2Si2HgRh5 structure. The functional is PBE-GGA.

Cell: 3.522 9.819 9.819 Å, 90.00 90.00 90.00°
Fractional positions:
Y 0.000 0.675 0.175
Y 0.000 0.325 0.825
Y 0.000 0.175 0.325
Y 0.000 0.825 0.675
Si 0.000 0.123 0.623
Si 0.000 0.877 0.377
Si 0.000 0.623 0.877
Si 0.000 0.377 0.123
Hg 0.000 0.000 0.000
Hg 0.000 0.500 0.500
Rh 0.500 0.218 0.069
Rh 0.500 0.782 0.931
Rh 0.500 0.069 0.782
Rh 0.500 0.718 0.431
Rh 0.500 0.931 0.218
Rh 0.500 0.282 0.569
Rh 0.500 0.569 0.718
Rh 0.500 0.431 0.282
Rh 0.500 0.500 0.000
Rh 0.500 0.000 0.500

space group = P4/mbm (127)
calculated volume = 339.5 Å³/cell
electronic total energy = -69.56 eV/f.u.
formation energy (no corrections) = -8.73 eV/f.u.

=====

Record 3
This record from Alexandria via LeMat-Bulk describes a geometry-optimized KTmGe2O6 structure. The functional is PBE-GGA.

Cell: 5.378 7.414 7.414 Å, 91.76 85.39 85.39°
Fractional positions:
K 0.250 0.911 0.089
K 0.750 0.089 0.911
Tm 0.250 0.280 0.720
Tm 0.750 0.720 0.280
Ge 0.224 0.790 0.616
Ge 0.276 0.384 0.210
Ge 0.776 0.210 0.384
Ge 0.724 0.616 0.790
O 0.192 0.991 0.746
O 0.308 0.254 0.009
O 0.808 0.009 0.254
O 0.692 0.746 0.991
O 0.388 0.802 0.409
O 0.112 0.591 0.198
O 0.612 0.198 0.591
O 0.888 0.409 0.802
O 0.901 0.722 0.598
O 0.599 0.402 0.278
O 0.099 0.278 0.402
O 0.401 0.598 0.722

space group = C2/c (15)
calculated volume = 293.5 Å³/cell
electronic total energy = -66.16 eV/f.u.
formation energy (no corrections) = -21.60 eV/f.u.